*P*
First-principles (PBE) data for a relaxed Dy2HoEr6 crystal, as listed in Alexandria via LeMat-Bulk.

The structure in POSCAR format:
```
Dy2HoEr6
1.0
-1.1655 2.5207 2.2012
-3.1782 -4.7287 6.5883
11.0833 6.9717 -2.1136
Dy Er Ho
2 6 1
direct
0.3702 0.2595 0.9258 Dy
0.6298 0.7405 0.0742 Dy
0.9630 0.0740 0.4082 Er
0.3331 0.3341 0.3339 Er
0.7031 0.5940 0.2603 Er
0.2969 0.4060 0.7397 Er
0.6669 0.6659 0.6661 Er
0.0370 0.9260 0.5918 Er
0.0000 0.0000 0.0000 Ho
```

SG: C2/m, No. 12
Calculated volume, Å³/cell: 276

***

*Q*
First-principles (PBE) data for a relaxed Dy2HoEr6 crystal, as listed in Alexandria via LeMat-Bulk.

The structure in POSCAR format:
```
Dy2HoEr6
1.0
-2.2220 3.8759 -2.1670
-8.9651 -2.3652 4.9624
2.8406 6.1352 8.0560
Er Ho Dy
12 2 4
direct
0.9999 0.9998 0.8336 Er
0.9998 0.3330 0.1668 Er
0.4998 0.1664 0.9996 Er
0.4999 0.5002 0.3337 Er
0.4998 0.1669 0.6667 Er
0.9998 0.3336 0.4996 Er
0.0001 0.0002 0.1664 Er
0.0002 0.6670 0.8332 Er
0.0002 0.6664 0.5004 Er
0.5002 0.8331 0.3333 Er
0.5001 0.4998 0.6663 Er
0.5002 0.8336 0.0004 Er
0.0000 0.0000 0.5000 Ho
0.5000 0.5000 0.0000 Ho
0.0002 0.6666 0.1668 Dy
0.4998 0.1665 0.3333 Dy
0.5002 0.8335 0.6667 Dy
0.9998 0.3334 0.8332 Dy
```

SG: P4_2/mnm, No. 136
Calculated volume, Å³/cell: 549

***

Energy relative to the most stable one, in meV per atom: *P* 0; *Q* 21